(1)
LiThZnAg (PBE-GGA, optimized geometry); E_form = -0.4 eV per formula unit; mass density = 7.84 g/cm³; raw total energy = -13.823 eV per cell
1.0
4.9803 0.0000 0.0000
2.4901 4.3131 0.0000
2.4901 1.4377 4.0664
Zn Li Ag Th
1 1 1 1
Cartesian
0.0000 0.0000 0.0000 Zn
7.4704 4.3131 3.0498 Li
4.9803 2.8754 2.0332 Ag
2.4901 1.4377 1.0166 Th


(2)
SrTl4In (PBE-GGA, optimized geometry); E_form = -0.6 eV per formula unit; mass density = 8.73 g/cm³; raw total energy = -14.440 eV per cell; offset from the most stable computed form = 75 meV per atom
1.0
3.0944 -3.8833 4.1899
-3.0373 -5.1811 2.4783
1.7726 -5.9811 -1.8154
Tl Sr In
4 1 1
Cartesian
2.2286 -7.5835 3.9094 Tl
-0.8262 -8.2301 3.0567 Tl
0.6870 -5.6489 1.8220 Tl
1.5701 -8.6286 0.9176 Tl
0.0000 0.0000 0.0000 Sr
1.3723 -11.2841 3.6397 In


(3)
Pr2Nd3DyAs6 (PBE-GGA, optimized geometry); E_form = -18.1 eV per formula unit; mass density = 6.71 g/cm³; raw total energy = -74.423 eV per cell
1.0
-1.4970 3.8362 -1.1014
1.8669 -1.6126 -8.1540
-7.9429 -5.0626 1.4115
As Nd Dy Pr
6 3 1 2
Cartesian
-4.1219 -3.5956 -6.9209 As
-3.4511 0.7565 -0.9230 As
-5.0256 -2.7691 -2.8139 As
-2.5474 -0.0700 -5.0300 As
-8.9686 -1.6119 -1.6730 As
1.3956 -1.2272 -6.1709 As
-1.3475 -2.3958 -6.5130 Nd
0.1849 1.1118 -4.6277 Nd
-6.2255 -0.4433 -1.3309 Nd
-0.7485 1.9181 -0.5507 Dy
-2.2594 -1.5767 -2.4207 Pr
-5.3136 -1.2624 -5.4232 Pr


(4)
La2TlOsI (PBE-GGA, optimized geometry); mass density = 6.76 g/cm³; raw total energy = -19.109 eV per cell; formation energy without anion corrections = 1.18 eV per atom
1.0
5.8655 0.0000 0.0000
0.0000 5.7056 0.0000
0.0000 0.0000 5.8655
La Os Tl I
2 1 1 1
Cartesian
0.0000 0.0000 2.9327 La
2.9327 0.0000 0.0000 La
2.9327 2.8528 2.9327 Os
0.0000 2.8528 0.0000 Tl
0.0000 0.0000 0.0000 I


(5)
GePtAu3 (PBE-GGA, optimized geometry); E_form = 4.1 eV per formula unit; mass density = 10.98 g/cm³; raw total energy = -16.425 eV per cell; offset from the most stable computed form = 78 meV per atom
1.0
-4.8482 -0.2490 -1.4431
-1.1163 -2.6017 4.1993
-0.9478 4.3380 2.4357
Au Pt Ge
3 1 1
Cartesian
-0.5582 -1.3009 2.0997 Au
-0.4739 2.1690 1.2179 Au
-2.4241 -0.1245 -0.7215 Au
0.0000 0.0000 0.0000 Pt
-3.4561 0.7437 2.5960 Ge


(6)
CuNi2As (PBE-GGA, optimized geometry); E_form = -0.1 eV per formula unit; mass density = 8.47 g/cm³; raw total energy = -20.360 eV per cell
1.0
3.1675 0.0133 0.0000
-0.0128 3.1675 0.0000
0.0000 0.0000 4.9967
As Cu Ni
1 1 2
Cartesian
0.0000 0.0000 2.3845 As
1.5773 1.5904 3.8459 Cu
0.0000 0.0000 4.9581 Ni
1.5773 1.5904 1.3033 Ni